This record from the Alexandria database describes a geometry-optimized La2TbN structure. The functional is GGA-PBE.

Properties
raw formation energy: -0.56 eV per atom
DOS at the Fermi energy: 9.306 states/eV/cell
magnetic moment: 0.0 μB/f.u.

Cell: 3.6135 3.6135 29.6426 Å, 90.00 90.00 120.00°
Space group R-3m (No. 166, hexagonal axes)
Inequivalent atoms, fractional coordinates:
La 0.0000 0.0000 0.1186 [6 per cell]
Tb 0.0000 0.0000 0.0000 [3 per cell]
N 0.0000 0.0000 0.5000 [3 per cell]



This record from the Alexandria database describes a geometry-optimized La2TbTc2N6 structure. The functional is GGA-PBE.

Properties
raw formation energy: -0.71 eV per atom
DOS at the Fermi energy: 12.782 states/eV/cell
magnetic moment: 0.0 μB/f.u.

Cell: 5.7906 5.7906 18.1967 Å, 90.00 90.00 120.00°
Space group R-3m (No. 166, hexagonal axes)
Inequivalent atoms, fractional coordinates:
La 0.0000 0.0000 0.2086 [6 per cell]
Tb 0.0000 0.0000 0.0000 [3 per cell]
Tc 0.0000 0.0000 0.4005 [6 per cell]
N 0.0091 0.5046 0.7632 [18 per cell]



This record from the Alexandria database describes a geometry-optimized La2Tb4Te3N2 structure. The functional is GGA-PBE.

Properties
raw formation energy: -1.25 eV per atom
DOS at the Fermi energy: 15.949 states/eV/cell
magnetic moment: 0.0 μB/f.u.

Cell: 4.6685 4.6685 25.9684 Å, 90.00 90.00 90.00°
Space group I4/mmm (No. 139)
Inequivalent atoms, fractional coordinates:
La 0.0000 0.0000 0.1943 [4 per cell]
Tb 0.0000 0.5000 0.0829 [8 per cell]
Te 0.0000 0.0000 0.3267 [4 per cell]
Te 0.0000 0.0000 0.5000 [2 per cell]
N 0.0000 0.0000 0.1004 [4 per cell]



This record from the Alexandria database describes a geometry-optimized La3Tb2ThN6 structure. The functional is GGA-PBE.

Properties
raw formation energy: -1.49 eV per atom
DOS at the Fermi energy: 6.302 states/eV/cell
magnetic moment: 0.0 μB/f.u.

Cell: 6.3061 10.9164 6.3563 Å, 90.00 109.30 90.00°
Space group C2/m (No. 12)
Inequivalent atoms, fractional coordinates:
La 0.0000 0.0000 0.0000 [2 per cell]
La 0.0000 0.3314 0.0000 [4 per cell]
Tb 0.0000 0.1662 0.5000 [4 per cell]
Th 0.0000 0.5000 0.5000 [2 per cell]
N 0.2436 0.3342 0.7334 [8 per cell]
N 0.2461 0.0000 0.7327 [4 per cell]



This record from the Alexandria database describes a geometry-optimized LaTbTh2N4 structure. The functional is GGA-PBE.

Properties
raw formation energy: -1.54 eV per atom
DOS at the Fermi energy: 3.152 states/eV/cell
magnetic moment: 0.0 μB/f.u.

Cell: 6.2854 3.6553 6.3408 Å, 90.00 109.55 90.00°
Space group P2/m (No. 10)
Inequivalent atoms, fractional coordinates:
La 0.0000 0.0000 0.0000 [1 per cell]
Tb 0.0000 0.5000 0.5000 [1 per cell]
Th 0.5000 0.0000 0.5000 [1 per cell]
Th 0.5000 0.5000 0.0000 [1 per cell]
N 0.2568 0.0000 0.7447 [2 per cell]
N 0.2647 0.5000 0.2626 [2 per cell]



This record from the Alexandria database describes a geometry-optimized LaTbThN3 structure. The functional is GGA-PBE.

Properties
raw formation energy: -1.43 eV per atom
DOS at the Fermi energy: 5.689 states/eV/cell
magnetic moment: 0.0 μB/f.u.

Cell: 6.2128 3.6283 9.3216 Å, 90.00 101.77 90.00°
Space group P2_1/m (No. 11)
Inequivalent atoms, fractional coordinates:
La 0.1526 0.2500 0.1916 [2 per cell]
Tb 0.3561 0.2500 0.8637 [2 per cell]
Th 0.2655 0.7500 0.5467 [2 per cell]
N 0.0475 0.2500 0.6590 [2 per cell]
N 0.2604 0.7500 0.9937 [2 per cell]
N 0.4608 0.7500 0.3483 [2 per cell]



This record from the Alexandria database describes a geometry-optimized La2TbThN4 structure. The functional is GGA-PBE.

Properties
raw formation energy: -1.50 eV per atom
DOS at the Fermi energy: 2.162 states/eV/cell
magnetic moment: 0.0 μB/f.u.

Cell: 6.3100 3.6644 6.3740 Å, 90.00 109.22 90.00°
Space group P2/m (No. 10)
Inequivalent atoms, fractional coordinates:
La 0.0000 0.0000 0.0000 [1 per cell]
La 0.5000 0.5000 0.0000 [1 per cell]
Tb 0.0000 0.5000 0.5000 [1 per cell]
Th 0.5000 0.0000 0.5000 [1 per cell]
N 0.2463 0.0000 0.7331 [2 per cell]
N 0.2571 0.5000 0.2701 [2 per cell]



This record from the Alexandria database describes a geometry-optimized LaTb2ThN4 structure. The functional is GGA-PBE.

Properties
raw formation energy: -1.56 eV per atom
DOS at the Fermi energy: 1.889 states/eV/cell
magnetic moment: 0.0 μB/f.u.

Cell: 6.2295 3.6056 6.2416 Å, 90.00 109.35 90.00°
Space group P2/m (No. 10)
Inequivalent atoms, fractional coordinates:
La 0.0000 0.0000 0.0000 [1 per cell]
Tb 0.5000 0.0000 0.5000 [1 per cell]
Tb 0.5000 0.5000 0.0000 [1 per cell]
Th 0.0000 0.5000 0.5000 [1 per cell]
N 0.2548 0.0000 0.7434 [2 per cell]
N 0.2582 0.5000 0.2629 [2 per cell]



Look up the raw formation energy of the first one. -0.56 eV per atom